Cd4Hg7Pb | Alexandria via LeMat-Bulk | GGA-PBE | optimized geometry; energy relative to the lowest polymorph listed for this composition = 0 meV per atom; energy = -0.762 eV per atom; D(E_F) = 0.434 states/eV per atom
1.0
3.5843 0.0000 0.0000
-1.7921 3.1041 0.0000
0.0000 0.0000 27.6046
Cd Hg Pb
4 7 1
Direct
0.3333 0.6667 0.1739
0.3333 0.6667 0.4196
0.6667 0.3333 0.5804
0.6667 0.3333 0.8261
0.0000 0.0000 0.2548
0.0000 0.0000 0.5000
0.0000 0.0000 0.7452
0.3333 0.6667 0.6610
0.3333 0.6667 0.9071
0.6667 0.3333 0.0929
0.6667 0.3333 0.3390
0.0000 0.0000 0.0000


Li2ZrMo | Alexandria via LeMat-Bulk | GGA-PBE | optimized geometry; energy relative to the lowest polymorph listed for this composition = 199 meV per atom; energy = -5.379 eV per atom; D(E_F) = 1.245 states/eV per atom
1.0
3.7790 0.0000 0.0000
0.0000 3.7790 0.0000
0.0000 0.0000 5.0388
Li Zr Mo
2 1 1
Direct
0.0000 0.5000 0.0000
0.5000 0.0000 0.0000
0.0000 0.0000 0.5000
0.5000 0.5000 0.5000


AcPmPr2Er | Alexandria via LeMat-Bulk | GGA-PBE | optimized geometry; energy = -4.255 eV per atom; D(E_F) = 1.366 states/eV per atom
1.0
4.1869 -6.1367 0.0000
4.1869 6.1367 0.0000
0.0000 0.0000 7.4633
Ac Pm Pr Er
2 2 4 2
Direct
0.2421 0.7579 0.7500
0.7579 0.2421 0.2500
0.0581 0.9419 0.2500
0.9419 0.0581 0.7500
0.3025 0.3025 0.0000
0.3025 0.3025 0.5000
0.6975 0.6975 0.0000
0.6975 0.6975 0.5000
0.3070 0.6930 0.2500
0.6930 0.3070 0.7500


Q: Which formation energy from the elements values were calculated for the entries above? A: 0.0283; 0.4226; 0.3415, in eV per atom.